Compound: ZnCoBr2
Source: Alexandria via LeMat-Bulk
Functional: PBE
Structure: optimized geometry

As for the density of states at the Fermi level: 3.83 states/eV/f.u. For the uncorrected formation energy, the calculation gives 746 meV per atom. Its final energy is -0.080 hartree per atom.

a b c (Å): 4.9891 4.9891 4.9891
angles (deg): 60.00 60.00 60.00
With the nearest neighbours (Å) after each atom.
Fractional positions:
1 Br 0.0000 0.0000 0.0000  4 Br 3.06, 4 Zn 3.06
2 Br 0.2500 0.2500 0.2500  4 Co 3.06, 4 Br 3.06
3 Co 0.5000 0.5000 0.5000  4 Zn 3.06, 4 Br 3.06
4 Zn 0.7500 0.7500 0.7500  4 Co 3.06, 4 Br 3.06

***

Compound: ZnCoBr
Source: Alexandria via LeMat-Bulk
Functional: PBE
Structure: optimized geometry

As for the density of states at the Fermi level: 3.00 states/eV/f.u. For the uncorrected formation energy, the calculation gives 836 meV per atom. Its final energy is -0.092 hartree per atom.

a b c (Å): 4.4615 4.4615 4.4615
angles (deg): 60.00 60.00 60.00
With the nearest neighbours (Å) after each atom.
Fractional positions:
1 Br 0.0000 0.0000 0.0000  4 Zn 2.73
2 Co 0.5000 0.5000 0.5000  4 Zn 2.73
3 Zn 0.7500 0.7500 0.7500  4 Co 2.73, 4 Br 2.73

***

Compound: ZnCoBr4
Source: Alexandria via LeMat-Bulk
Functional: PBE
Structure: optimized geometry

As for the density of states at the Fermi level: 4.48 states/eV/f.u. For the uncorrected formation energy, the calculation gives -402 meV per atom. Its final energy is -0.107 hartree per atom.

a b c (Å): 7.1981 7.1981 8.9663
angles (deg): 90.00 90.00 90.00
With the nearest neighbours (Å) after each atom.
Fractional positions:
1 Zn 0.0000 0.5000 0.0000  4 Br 2.51
2 Zn 0.5000 0.0000 0.5000  4 Br 2.51
3 Co 0.0000 0.0000 0.5000  4 Br 2.43
4 Co 0.0000 0.0000 0.0000  4 Br 2.43
5 Br 0.7574 0.2343 0.5000  1 Co 2.43, 1 Zn 2.51
6 Br 0.7657 0.2426 0.0000  1 Co 2.43, 1 Zn 2.51
7 Br 0.7574 0.7657 0.5000  1 Co 2.43, 1 Zn 2.51
8 Br 0.2343 0.7574 0.0000  1 Co 2.43, 1 Zn 2.51
9 Br 0.2426 0.7657 0.5000  1 Co 2.43, 1 Zn 2.51
10 Br 0.2343 0.2426 0.0000  1 Co 2.43, 1 Zn 2.51
11 Br 0.7657 0.7574 0.0000  1 Co 2.43, 1 Zn 2.51
12 Br 0.2426 0.2343 0.5000  1 Co 2.43, 1 Zn 2.51

***

Compound: ZrZnCo2Br
Source: Alexandria via LeMat-Bulk
Functional: PBE
Structure: optimized geometry

As for the density of states at the Fermi level: 3.69 states/eV/f.u. For the uncorrected formation energy, the calculation gives 1007 meV per atom. Its final energy is -0.152 hartree per atom.

a b c (Å): 4.8014 5.2174 4.8014
angles (deg): 90.00 90.00 90.00
With the nearest neighbours (Å) after each atom.
Fractional positions:
1 Zn 0.5000 0.5000 0.5000  4 Br 3.40, 8 Co 3.55
2 Co 0.0000 0.0000 0.5000  2 Zr 2.40
3 Co 0.5000 0.0000 0.0000  2 Zr 2.40
4 Br 0.0000 0.5000 0.0000  2 Zr 2.61
5 Zr 0.0000 0.0000 0.0000  4 Co 2.40, 2 Br 2.61

***

Compound: ZrCo2Br
Source: Alexandria via LeMat-Bulk
Functional: PBE
Structure: optimized geometry

As for the density of states at the Fermi level: 3.65 states/eV/f.u. For the uncorrected formation energy, the calculation gives 407 meV per atom. Its final energy is -0.210 hartree per atom.

a b c (Å): 4.7082 4.7082 3.2840
angles (deg): 90.00 90.00 113.21
With the nearest neighbours (Å) after each atom.
Fractional positions:
1 Br 0.0000 0.5000 0.5000  2 Zr 2.59, 8 Co 2.87
2 Co 0.0000 0.0000 0.0000  2 Co 2.59, 4 Zr 2.87, 4 Br 2.87
3 Co 0.5000 0.5000 0.0000  2 Co 2.59, 4 Br 2.87, 4 Zr 2.87
4 Zr 0.5000 0.0000 0.5000  2 Br 2.59, 8 Co 2.87

***

Compound: ZrCoBr2
Source: Alexandria via LeMat-Bulk
Functional: PBE
Structure: optimized geometry

As for the density of states at the Fermi level: 4.93 states/eV/f.u. For the uncorrected formation energy, the calculation gives 191 meV per atom. Its final energy is -0.168 hartree per atom.

a b c (Å): 4.5432 3.4552 5.4804
angles (deg): 92.40 90.00 90.00
With the nearest neighbours (Å) after each atom.
Fractional positions:
1 Br 0.0000 0.9917 0.0043  2 Co 2.77, 2 Zr 2.78
2 Br 0.0000 0.5083 0.4957  2 Co 2.77, 2 Zr 2.78
3 Co 0.5000 0.2500 0.2500  4 Br 2.77
4 Zr 0.5000 0.7500 0.7500  4 Br 2.78